# 1
The following is a DFT calculation (PBE) of La7Pm2Tm3 after structural relaxation.

abc: 6.545 3.592 17.775
angles: 90.00 95.48 90.00
Space group P2/m (No. 10)
Asymmetric unit:
1 La 0.000 0.000 0.000 x1
2 La 0.230 0.500 0.173 x2
3 La 0.262 0.500 0.491 x2
4 La 0.281 0.000 0.835 x2
5 Pm 0.059 0.500 0.670 x2
6 Tm 0.459 0.000 0.339 x2
7 Tm 0.500 0.500 0.000 x1

Values from the calculation:
ΔE_f	0.060	eV/atom
total magnetic moment	0.00	μB per cell
total energy	-4.72	eV per atom



# 2
The following is a DFT calculation (PBE) of Hf2Sb2S after structural relaxation.

abc: 7.325 7.325 4.099
angles: 90.00 90.00 90.00
Space group P4/mbm (No. 127)
Asymmetric unit:
1 Hf 0.159 0.341 0.000 x4
2 Sb 0.144 0.644 0.500 x4
3 S 0.000 0.000 0.000 x2

Values from the calculation:
polymorph energy (0 for the lowest one)	0.0932	eV/atom
total magnetic moment	0.00	μB per cell
total energy	-7.02	eV per atom
energy relative to the elements, uncorrected	-0.56	eV/atom



# 3
The following is a DFT calculation (PBE) of NaZn2SiO4 after structural relaxation.

abc: 4.975 4.975 8.221
angles: 90.00 90.00 90.00
Space group I-42m (No. 121)
Asymmetric unit:
1 Na 0.000 0.000 0.000 x2
2 Zn 0.000 0.500 0.250 x4
3 Si 0.000 0.000 0.500 x2
4 O 0.194 0.194 0.382 x8

Values from the calculation:
total magnetic moment	0.00	μB per cell
total energy	-5.43	eV per atom
energy relative to the elements, uncorrected	-1.79	eV/atom



# 4
The following is a DFT calculation (PBE) of Cr3GaTe after structural relaxation.

abc: 4.762 4.762 4.762
angles: 90.00 90.00 90.00
Space group Pm-3m (No. 221)
Asymmetric unit:
1 Cr 0.000 0.000 0.500 x3
2 Ga 0.000 0.000 0.000 x1
3 Te 0.500 0.500 0.500 x1

Values from the calculation:
polymorph energy (0 for the lowest one)	0.0000	eV/atom
total magnetic moment	11.20	μB per cell
total energy	-6.18	eV per atom
energy relative to the elements, uncorrected	0.83	eV/atom



# 5
The following is a DFT calculation (PBE) of K4LaTa3O12 after structural relaxation.

abc: 8.410 8.410 8.410
angles: 90.00 90.00 90.00
Space group Im-3m (No. 229)
Asymmetric unit:
1 K 0.250 0.250 0.250 x8
2 La 0.000 0.000 0.000 x2
3 Ta 0.000 0.000 0.500 x6
4 O 0.000 0.000 0.273 x12
5 O 0.000 0.250 0.500 x12

Values from the calculation:
total magnetic moment	3.92	μB per cell
total energy	-7.65	eV per atom
energy relative to the elements, uncorrected	-2.43	eV/atom



# 6
The following is a DFT calculation (PBE) of AcPmWN4 after structural relaxation.

abc: 5.652 12.921 5.674
angles: 90.00 90.00 90.00
Space group Cmcm (No. 63)
Asymmetric unit:
1 Ac 0.000 0.105 0.250 x4
2 Pm 0.000 0.397 0.250 x4
3 W 0.000 0.246 0.750 x4
4 N 0.000 0.092 0.750 x4
5 N 0.000 0.419 0.750 x4
6 N 0.250 0.250 0.000 x8

Values from the calculation:
total magnetic moment	0.00	μB per cell
total energy	-8.91	eV per atom
energy relative to the elements, uncorrected	-1.04	eV/atom